[1]
# RbErFeTe3

A geometry-optimized RbErFeTe3 structure (PBE, OQMD via LeMat-Bulk).

Unit cell a=17.6199 b=4.7440 c=9.4615 alpha=90.00 beta=92.00 gamma=90.00
With the nearest neighbours (Å) after each atom.
Space group Cm (No. 8)
Asymmetric unit:
Rb  0.0000  0.0000  0.0000 [2 per cell]  6 Te 3.58-3.70
Rb  0.2071  0.5000  0.8287 [2 per cell]  6 Te 3.58-3.70
Er  0.0152  0.0000  0.4986 [2 per cell]  6 Te 2.93-3.14
Er  0.1923  0.5000  0.3308 [2 per cell]  6 Te 2.93-3.14
Fe  0.3479  0.0000  0.5370 [2 per cell]  1 Fe 2.37, 2 Te 2.65
Fe  0.3590  0.0000  0.2880 [2 per cell]  1 Fe 2.37, 2 Te 2.65
Te  0.0230  0.5000  0.2815 [2 per cell]  1 Fe 2.89, 3 Er 3.00-3.14
Te  0.1846  0.0000  0.5476 [2 per cell]  1 Fe 2.88, 3 Er 3.00-3.14
Te  0.2234  0.0000  0.1285 [2 per cell]  1 Fe 2.78, 1 Te 3.09, 2 Er 3.11
Te  0.3532  0.0000  0.9170 [2 per cell]  2 Te 3.09-3.12
Te  0.3540  0.5000  0.4125 [2 per cell]  4 Fe 2.65, 2 Er 2.93
Te  0.4825  0.0000  0.6999 [2 per cell]  1 Fe 2.78, 2 Er 3.11

The calculation puts the magnetic moment at 12.007 μB per cell. The total energy is -27.30 eV per formula unit.

[2]
# TbZnAg4

A geometry-optimized TbZnAg4 structure (PBE, OQMD via LeMat-Bulk).

Unit cell a=5.5430 b=5.5430 c=13.5622 alpha=90.00 beta=90.00 gamma=120.00
With the nearest neighbours (Å) after each atom.
Space group R3m (No. 160, hexagonal axes)
Asymmetric unit:
Tb  0.0000  0.0000  0.0000 [3 per cell]  12 Ag 3.25, 4 Zn 3.39-3.41
Zn  0.0000  0.0000  0.7488 [3 per cell]  12 Ag 3.23-3.26, 4 Tb 3.39-3.41
Ag  0.0000  0.0000  0.3758 [3 per cell]  6 Ag 2.76-2.78
Ag  0.1671  0.3342  0.2086 [9 per cell]  6 Ag 2.76-2.78

The calculation puts the magnetic moment at 0.001 μB per cell. The total energy is -18.00 eV per formula unit.

[3]
# NaSmTe3Pd

A geometry-optimized NaSmTe3Pd structure (PBE, OQMD via LeMat-Bulk).

Unit cell a=10.2034 b=4.3813 c=16.2364 alpha=90.00 beta=90.00 gamma=90.00
With the nearest neighbours (Å) after each atom.
Space group Pnma (No. 62)
Asymmetric unit:
Na  0.2304  0.2500  0.0066 [4 per cell]  6 Te 3.25-3.31
Sm  0.0139  0.7500  0.7473 [4 per cell]  6 Te 3.10-3.16, 4 Pd 3.34-3.39
Te  0.0779  0.7500  0.1245 [4 per cell]  1 Pd 2.68
Te  0.1073  0.2500  0.6203 [4 per cell]  1 Pd 2.68
Te  0.2378  0.2500  0.3598 [4 per cell]  2 Pd 2.78, 1 Sm 3.10
Pd  0.2394  0.7500  0.2545 [4 per cell]  4 Te 2.68-2.78

The calculation puts the magnetic moment at 0.007 μB per cell. The total energy is -26.08 eV per formula unit.

[4]
# TmP

A geometry-optimized TmP structure (PBE, OQMD via LeMat-Bulk).

Unit cell a=6.2031 b=6.2031 c=6.2031 alpha=90.00 beta=90.00 gamma=90.00
With the nearest neighbours (Å) after each atom.
Space group F-43m (No. 216)
Asymmetric unit:
Tm  0.0000  0.0000  0.0000 [4 per cell]  4 P 2.69
P  0.2500  0.2500  0.2500 [4 per cell]  4 Tm 2.69

The calculation puts the magnetic moment at 0.001 μB per cell. The total energy is -12.00 eV per formula unit.

[5]
# UNb2Se

A geometry-optimized UNb2Se structure (PBE, OQMD via LeMat-Bulk).

Unit cell a=3.0932 b=3.0932 c=9.4136 alpha=90.00 beta=90.00 gamma=120.00
With the nearest neighbours (Å) after each atom.
Space group P3m1 (No. 156)
Asymmetric unit:
U  0.0000  0.0000  0.0000 [1 per cell]  4 Nb 2.82-3.15, 6 U 3.09
Nb  0.0000  0.0000  0.2995 [1 per cell]  3 Se 2.69, 1 U 2.82
Nb  0.3333  0.6667  0.7250 [1 per cell]  3 Se 2.68
Se  0.6667  0.3333  0.5126 [1 per cell]  6 Nb 2.68-2.69

The calculation puts the magnetic moment at 1.520 μB per cell. The total energy is -34.17 eV per formula unit.

[6]
# CoW

A geometry-optimized CoW structure (PBE, OQMD via LeMat-Bulk).

Unit cell a=4.1091 b=4.1091 c=4.6917 alpha=90.00 beta=90.00 gamma=120.00
With the nearest neighbours (Å) after each atom.
Space group P6_3/mmc (No. 194)
Asymmetric unit:
Co  0.3333  0.6667  0.2500 [2 per cell]  5 W 2.35-2.37
W  0.3333  0.6667  0.7500 [2 per cell]  5 Co 2.35-2.37

The calculation puts the magnetic moment at 0.001 μB per cell. The total energy is -17.86 eV per formula unit.